[1]
Compound: NaCa2Cd2
Source: Alexandria
Functional: PBE
Structure: relaxed

Cell lengths 4.339, 4.339, 18.109 Å; angles 90.00, 90.00, 90.00 degrees
Positions (direct):
Na1 0.000 0.000 0.000
Na2 0.500 0.500 0.500
Ca1 0.000 0.000 0.387
Ca2 0.000 0.000 0.613
Ca3 0.500 0.500 0.113
Ca4 0.500 0.500 0.887
Cd1 0.000 0.500 0.250
Cd2 0.000 0.500 0.750
Cd3 0.500 0.000 0.250
Cd4 0.500 0.000 0.750

## Properties
E in eV/atom: -1.45
E_form in kcal/mol of atoms: -0.49
Symmetry: I4/mmm, No. 139

[2]
Compound: Na12Ca3Cd5
Source: Alexandria
Functional: PBE
Structure: relaxed

Cell lengths 16.534, 16.534, 16.534 Å; angles 109.47, 109.47, 109.47 degrees
Positions (direct):
Na1 0.034 0.207 0.107
Na2 0.034 0.327 0.927
Na3 0.073 0.607 0.401
Na4 0.073 0.966 0.673
Na5 0.099 0.707 0.673
Na6 0.099 0.893 0.427
Na7 0.107 0.034 0.207
Na8 0.107 0.573 0.901
Na9 0.173 0.207 0.599
Na10 0.173 0.466 0.573
Na11 0.207 0.107 0.034
Na12 0.207 0.599 0.173
Na13 0.293 0.327 0.901
Na14 0.293 0.466 0.393
Na15 0.327 0.901 0.293
Na16 0.327 0.927 0.034
Na17 0.393 0.293 0.466
Na18 0.393 0.599 0.927
Na19 0.401 0.073 0.607
Na20 0.401 0.827 0.793
Na21 0.427 0.099 0.893
Na22 0.427 0.827 0.534
Na23 0.466 0.393 0.293
Na24 0.466 0.573 0.173
Na25 0.534 0.427 0.827
Na26 0.534 0.607 0.707
Na27 0.573 0.173 0.466
Na28 0.573 0.901 0.107
Na29 0.599 0.173 0.207
Na30 0.599 0.927 0.393
Na31 0.607 0.401 0.073
Na32 0.607 0.707 0.534
Na33 0.673 0.073 0.966
Na34 0.673 0.099 0.707
Na35 0.707 0.534 0.607
Na36 0.707 0.673 0.099
Na37 0.793 0.401 0.827
Na38 0.793 0.893 0.966
Na39 0.827 0.534 0.427
Na40 0.827 0.793 0.401
Na41 0.893 0.427 0.099
Na42 0.893 0.966 0.793
Na43 0.901 0.107 0.573
Na44 0.901 0.293 0.327
Na45 0.927 0.034 0.327
Na46 0.927 0.393 0.599
Na47 0.966 0.673 0.073
Na48 0.966 0.793 0.893
Ca1 0.125 0.250 0.375
Ca2 0.125 0.375 0.750
Ca3 0.250 0.375 0.125
Ca4 0.250 0.875 0.625
Ca5 0.375 0.125 0.250
Ca6 0.375 0.750 0.125
Ca7 0.625 0.250 0.875
Ca8 0.625 0.875 0.750
Ca9 0.750 0.125 0.375
Ca10 0.750 0.625 0.875
Ca11 0.875 0.625 0.250
Ca12 0.875 0.750 0.625
Cd1 0.000 0.000 0.000
Cd2 0.000 0.000 0.500
Cd3 0.000 0.500 0.000
Cd4 0.000 0.500 0.500
Cd5 0.125 0.750 0.875
Cd6 0.125 0.875 0.250
Cd7 0.250 0.125 0.875
Cd8 0.250 0.625 0.375
Cd9 0.375 0.250 0.625
Cd10 0.375 0.625 0.750
Cd11 0.500 0.000 0.000
Cd12 0.500 0.000 0.500
Cd13 0.500 0.500 0.000
Cd14 0.500 0.500 0.500
Cd15 0.625 0.375 0.250
Cd16 0.625 0.750 0.375
Cd17 0.750 0.375 0.625
Cd18 0.750 0.875 0.125
Cd19 0.875 0.125 0.750
Cd20 0.875 0.250 0.125

## Properties
E in eV/atom: -1.04
E_form in kcal/mol of atoms: 6.56
Symmetry: Ia-3d, No. 230

[3]
Compound: NaCaCd
Source: Alexandria
Functional: PBE
Structure: relaxed

Cell lengths 5.223, 5.223, 7.717 Å; angles 90.00, 90.00, 120.00 degrees
Positions (direct):
Na1 0.333 0.667 0.495
Na2 0.667 0.333 0.505
Ca1 0.000 0.000 0.220
Ca2 0.000 0.000 0.780
Cd1 0.333 0.667 0.999
Cd2 0.667 0.333 0.001

## Properties
E in eV/atom: -1.52
E_form in kcal/mol of atoms: -2.43
Symmetry: P-3m1, No. 164

[4]
Compound: Na16CaCd12
Source: Alexandria
Functional: PBE
Structure: relaxed

Cell lengths 10.300, 10.300, 10.057 Å; angles 109.45, 109.45, 110.47 degrees
Positions (direct):
Na1 0.000 0.000 0.000
Na2 0.003 0.003 0.356
Na3 0.004 0.685 0.767
Na4 0.005 0.413 0.051
Na5 0.286 0.600 0.954
Na6 0.309 0.724 0.670
Na7 0.327 0.327 0.098
Na8 0.340 0.340 0.718
Na9 0.403 0.702 0.358
Na10 0.413 0.005 0.051
Na11 0.600 0.286 0.954
Na12 0.665 0.998 0.358
Na13 0.685 0.004 0.767
Na14 0.702 0.403 0.358
Na15 0.724 0.309 0.670
Na16 0.998 0.665 0.358
Ca1 0.582 0.582 0.628
Cd1 0.002 0.181 0.727
Cd2 0.008 0.362 0.550
Cd3 0.177 0.822 0.175
Cd4 0.181 0.002 0.727
Cd5 0.189 0.367 0.365
Cd6 0.362 0.008 0.550
Cd7 0.367 0.189 0.365
Cd8 0.639 0.821 0.988
Cd9 0.643 0.643 0.181
Cd10 0.812 0.812 0.543
Cd11 0.821 0.639 0.988
Cd12 0.822 0.177 0.175

## Properties
E in eV/atom: -1.26
E_form in kcal/mol of atoms: -1.97
Symmetry: Cm, No. 8

[5]
Compound: NaCaCd
Source: Alexandria
Functional: PBE
Structure: relaxed

Cell lengths 5.324, 5.324, 3.762 Å; angles 90.00, 90.00, 120.00 degrees
Positions (direct):
Na1 0.000 0.000 0.000
Ca1 0.667 0.333 0.496
Cd1 0.333 0.667 0.993

## Properties
E in eV/atom: -1.50
E_form in kcal/mol of atoms: -2.05
Symmetry: P3m1, No. 156

[6]
Compound: Na3CaCd8
Source: Alexandria
Functional: PBE
Structure: relaxed

Cell lengths 6.013, 6.013, 9.689 Å; angles 90.00, 90.00, 120.00 degrees
Positions (direct):
Na1 0.000 0.000 0.000
Na2 0.000 0.000 0.371
Na3 0.333 0.667 0.881
Ca1 0.333 0.667 0.501
Cd1 0.008 0.504 0.190
Cd2 0.324 0.162 0.689
Cd3 0.496 0.504 0.190
Cd4 0.496 0.992 0.190
Cd5 0.667 0.333 0.439
Cd6 0.667 0.333 0.940
Cd7 0.838 0.162 0.689
Cd8 0.838 0.676 0.689

## Properties
E in eV/atom: -1.28
E_form in kcal/mol of atoms: -4.09
Symmetry: P3m1, No. 156

[7]
Compound: NaCa8Cd2
Source: Alexandria
Functional: PBE
Structure: relaxed

Cell lengths 8.799, 8.799, 6.151 Å; angles 99.09, 99.09, 112.64 degrees
Positions (direct):
Na1 0.000 0.000 0.000
Ca1 0.072 0.330 0.592
Ca2 0.244 0.756 0.000
Ca3 0.330 0.072 0.592
Ca4 0.391 0.391 0.198
Ca5 0.609 0.609 0.802
Ca6 0.670 0.928 0.408
Ca7 0.756 0.244 0.000
Ca8 0.928 0.670 0.408
Cd1 0.314 0.686 0.500
Cd2 0.686 0.314 0.500

## Properties
E in eV/atom: -1.82
E_form in kcal/mol of atoms: -1.75
Symmetry: C2/m, No. 12

[8]
Compound: NaCa2Cd2
Source: Alexandria
Functional: PBE
Structure: relaxed

Cell lengths 9.244, 9.244, 3.661 Å; angles 90.00, 90.00, 90.00 degrees
Positions (direct):
Na1 0.000 0.000 0.000
Na2 0.500 0.500 0.000
Ca1 0.140 0.360 0.000
Ca2 0.360 0.860 0.000
Ca3 0.640 0.140 0.000
Ca4 0.860 0.640 0.000
Cd1 0.155 0.655 0.500
Cd2 0.345 0.155 0.500
Cd3 0.655 0.845 0.500
Cd4 0.845 0.345 0.500

## Properties
E in eV/atom: -1.58
E_form in kcal/mol of atoms: -3.47
Symmetry: P4/mbm, No. 127

[9]
Compound: Na3CaCd8
Source: Alexandria
Functional: PBE
Structure: relaxed

Cell lengths 10.579, 10.579, 10.579 Å; angles 32.59, 32.59, 32.59 degrees
Positions (direct):
Na1 0.000 0.000 0.000
Na2 0.123 0.123 0.123
Na3 0.627 0.627 0.627
Ca1 0.500 0.500 0.500
Cd1 0.063 0.063 0.562
Cd2 0.063 0.562 0.063
Cd3 0.064 0.563 0.563
Cd4 0.313 0.313 0.313
Cd5 0.562 0.063 0.063
Cd6 0.563 0.064 0.563
Cd7 0.563 0.563 0.064
Cd8 0.813 0.813 0.813

## Properties
E in eV/atom: -1.27
E_form in kcal/mol of atoms: -3.84
Symmetry: R3m, No. 160

[10]
Compound: NaCa8Cd2
Source: Alexandria
Functional: PBE
Structure: relaxed

Cell lengths 9.608, 9.608, 9.608 Å; angles 148.13, 120.01, 69.55 degrees
Positions (direct):
Na1 0.000 0.000 0.000
Ca1 0.126 0.835 0.292
Ca2 0.143 0.643 0.500
Ca3 0.320 0.500 0.820
Ca4 0.457 0.165 0.292
Ca5 0.543 0.835 0.708
Ca6 0.680 0.500 0.180
Ca7 0.857 0.357 0.500
Ca8 0.874 0.165 0.708
Cd1 0.297 0.297 0.000
Cd2 0.703 0.703 0.000

## Properties
E in eV/atom: -1.81
E_form in kcal/mol of atoms: -1.54
Symmetry: Immm, No. 71

[11]
Compound: NaCa6Cd
Source: Alexandria
Functional: PBE
Structure: relaxed

Cell lengths 5.555, 5.555, 19.310 Å; angles 90.00, 90.00, 90.00 degrees
Positions (direct):
Na1 0.000 0.000 0.000
Na2 0.500 0.500 0.500
Ca1 0.000 0.000 0.250
Ca2 0.000 0.000 0.750
Ca3 0.000 0.500 0.107
Ca4 0.000 0.500 0.393
Ca5 0.000 0.500 0.607
Ca6 0.000 0.500 0.893
Ca7 0.500 0.000 0.107
Ca8 0.500 0.000 0.393
Ca9 0.500 0.000 0.607
Ca10 0.500 0.000 0.893
Ca11 0.500 0.500 0.250
Ca12 0.500 0.500 0.750
Cd1 0.000 0.000 0.500
Cd2 0.500 0.500 0.000

## Properties
E in eV/atom: -1.83
E_form in kcal/mol of atoms: -1.24
Symmetry: I4/mmm, No. 139

[12]
Compound: Na4CaCd2
Source: Alexandria
Functional: PBE
Structure: relaxed

Cell lengths 5.257, 21.783, 3.759 Å; angles 90.00, 90.00, 90.00 degrees
Positions (direct):
Na1 0.000 0.152 0.000
Na2 0.000 0.306 0.500
Na3 0.000 0.694 0.500
Na4 0.000 0.848 0.000
Na5 0.500 0.194 0.500
Na6 0.500 0.348 0.000
Na7 0.500 0.652 0.000
Na8 0.500 0.806 0.500
Ca1 0.000 0.000 0.500
Ca2 0.500 0.500 0.500
Cd1 0.000 0.434 0.000
Cd2 0.000 0.566 0.000
Cd3 0.500 0.066 0.000
Cd4 0.500 0.934 0.000

## Properties
E in eV/atom: -1.38
E_form in kcal/mol of atoms: -1.72
Symmetry: Cmmm, No. 65

Please write out number 4 again, unchanged.
Compound: Na16CaCd12
Source: Alexandria
Functional: PBE
Structure: relaxed

Cell lengths 10.300, 10.300, 10.057 Å; angles 109.45, 109.45, 110.47 degrees
Positions (direct):
Na1 0.000 0.000 0.000
Na2 0.003 0.003 0.356
Na3 0.004 0.685 0.767
Na4 0.005 0.413 0.051
Na5 0.286 0.600 0.954
Na6 0.309 0.724 0.670
Na7 0.327 0.327 0.098
Na8 0.340 0.340 0.718
Na9 0.403 0.702 0.358
Na10 0.413 0.005 0.051
Na11 0.600 0.286 0.954
Na12 0.665 0.998 0.358
Na13 0.685 0.004 0.767
Na14 0.702 0.403 0.358
Na15 0.724 0.309 0.670
Na16 0.998 0.665 0.358
Ca1 0.582 0.582 0.628
Cd1 0.002 0.181 0.727
Cd2 0.008 0.362 0.550
Cd3 0.177 0.822 0.175
Cd4 0.181 0.002 0.727
Cd5 0.189 0.367 0.365
Cd6 0.362 0.008 0.550
Cd7 0.367 0.189 0.365
Cd8 0.639 0.821 0.988
Cd9 0.643 0.643 0.181
Cd10 0.812 0.812 0.543
Cd11 0.821 0.639 0.988
Cd12 0.822 0.177 0.175

## Properties
E in eV/atom: -1.26
E_form in kcal/mol of atoms: -1.97
Symmetry: Cm, No. 8

Question: Which of these has the lowest E?
Answer: NaCa6Cd

Question: Among the records above, which one has the highest E?
Answer: Na12Ca3Cd5

Question: What is the formula in the first record?
Answer: NaCa2Cd2